A plane-wave DFT calculation with GGA+U was carried out for a relaxed Cr2Bi6O15 crystal.

```
Cr2Bi6O15
1.0
-7.615 2.826 -8.781
6.245 -10.065 -1.666
-4.312 -3.128 2.733
Cr Bi O
4 12 30
Direct
0.536 0.210 0.856
0.464 0.790 0.856
0.790 0.464 0.356
0.210 0.536 0.356
0.386 0.248 0.320
0.614 0.752 0.320
0.752 0.614 0.820
0.248 0.386 0.820
0.297 0.893 0.330
0.703 0.107 0.330
0.107 0.703 0.830
0.893 0.297 0.830
0.171 0.047 0.722
0.829 0.953 0.722
0.953 0.829 0.222
0.047 0.171 0.222
0.676 0.219 0.929
0.324 0.781 0.929
0.781 0.324 0.429
0.219 0.676 0.429
0.536 0.347 0.870
0.464 0.653 0.870
0.653 0.464 0.370
0.347 0.536 0.370
0.431 0.119 0.045
0.569 0.881 0.045
0.881 0.569 0.545
0.119 0.431 0.545
0.497 0.153 0.598
0.503 0.847 0.598
0.847 0.503 0.098
0.153 0.497 0.098
0.250 0.254 0.086
0.750 0.746 0.086
0.746 0.750 0.586
0.254 0.250 0.586
0.859 0.170 0.113
0.141 0.830 0.113
0.830 0.141 0.613
0.170 0.859 0.613
0.744 0.942 0.379
0.256 0.058 0.379
0.058 0.256 0.879
0.942 0.744 0.879
0.000 0.000 0.038
0.000 0.000 0.538
```

symmetry	No. 37
mass density	6.9	g/cm3
raw total energy	-6.1773	eV/atom